[1]
Here is Zr2PbBr at its PBEsol-relaxed geometry from Alexandria. Energies are from SCAN.

Summary:
Crystal system: tetragonal
Magnetization: 0.00 μB per atom
VASP energy: -39.18 eV/atom
Density: 8.7 g/cm3

a = 5.849 Å, b = 5.849 Å, c = 5.849 Å
α = 137.58°, β = 137.58°, γ = 61.55°
Positions (direct):
Zr1 0.000 0.000 0.000
Zr2 0.750 0.250 0.500
Pb1 0.500 0.500 0.000
Br1 0.250 0.750 0.500



[2]
Here is TaFeSeN2 at its PBEsol-relaxed geometry from Alexandria. Energies are from SCAN.

Summary:
Crystal system: tetragonal
Magnetization: 0.93 μB per atom
VASP energy: -24.43 eV/atom
Density: 7.0 g/cm3

a = 3.930 Å, b = 3.930 Å, c = 5.298 Å
α = 90.00°, β = 90.00°, γ = 90.00°
Positions (direct):
Ta1 0.000 0.000 0.000
Fe1 0.500 0.500 0.500
Se1 0.000 0.000 0.500
N1 0.000 0.500 0.000
N2 0.500 0.000 0.000



[3]
Here is LiTcI2 at its PBEsol-relaxed geometry from Alexandria. Energies are from SCAN.

Summary:
Crystal system: cubic
Magnetization: 0.00 μB per atom
VASP energy: -27.24 eV/atom
Density: 7.5 g/cm3

a = 4.833 Å, b = 4.833 Å, c = 4.833 Å
α = 60.00°, β = 60.00°, γ = 60.00°
Positions (direct):
Li1 0.000 0.000 0.000
Tc1 0.500 0.500 0.500
I1 0.250 0.250 0.250
I2 0.750 0.750 0.750



[4]
Here is Ti2PWAu at its PBEsol-relaxed geometry from Alexandria. Energies are from SCAN.

Summary:
Crystal system: tetragonal
Magnetization: 0.00 μB per atom
Density: 7.9 g/cm3
Energy of formation from the pure elements: 1.208 eV per atom

a = 4.621 Å, b = 4.621 Å, c = 4.991 Å
α = 90.00°, β = 90.00°, γ = 90.00°
Positions (direct):
Ti1 0.000 0.500 0.000
Ti2 0.500 0.000 0.000
P1 0.000 0.000 0.500
W1 0.500 0.500 0.000
Au1 0.500 0.500 0.500



[5]
Here is Ni3Mo at its PBEsol-relaxed geometry from Alexandria. Energies are from SCAN.

Summary:
Crystal system: orthorhombic
Magnetization: 0.00 μB per atom
Density: 9.7 g/cm3
Energy of formation from the pure elements: 0.156 eV per atom

a = 4.400 Å, b = 4.400 Å, c = 2.554 Å
α = 90.00°, β = 90.00°, γ = 110.17°
Positions (direct):
Ni1 0.000 0.000 0.000
Ni2 0.000 0.500 0.500
Ni3 0.500 0.000 0.500
Mo1 0.500 0.500 0.000



[6]
Here is RbAgO2 at its PBEsol-relaxed geometry from Alexandria. Energies are from SCAN.

Summary:
Crystal system: trigonal
Magnetization: 0.50 μB per atom
VASP energy: -16.45 eV/atom
Density: 3.7 g/cm3

a = 7.064 Å, b = 7.064 Å, c = 7.064 Å
α = 34.66°, β = 34.66°, γ = 34.66°
Positions (direct):
Rb1 0.000 0.000 0.000
Ag1 0.500 0.500 0.500
O1 0.407 0.407 0.407
O2 0.593 0.593 0.593



[7]
Here is Sr5As3 at its PBEsol-relaxed geometry from Alexandria. Energies are from SCAN.

Summary:
Crystal system: hexagonal
Magnetization: 0.12 μB per atom
Density: 4.5 g/cm3
Energy of formation from the pure elements: -1.222 eV per atom

a = 8.931 Å, b = 8.931 Å, c = 7.122 Å
α = 90.00°, β = 90.00°, γ = 120.00°
Positions (direct):
Sr1 0.000 0.255 0.250
Sr2 0.000 0.745 0.750
Sr3 0.255 0.000 0.250
Sr4 0.255 0.255 0.750
Sr5 0.333 0.667 0.000
Sr6 0.333 0.667 0.500
Sr7 0.667 0.333 0.000
Sr8 0.667 0.333 0.500
Sr9 0.745 0.000 0.750
Sr10 0.745 0.745 0.250
As1 0.000 0.391 0.750
As2 0.000 0.609 0.250
As3 0.391 0.000 0.750
As4 0.391 0.391 0.250
As5 0.609 0.000 0.250
As6 0.609 0.609 0.750



[8]
Here is Ca2LaSc at its PBEsol-relaxed geometry from Alexandria. Energies are from SCAN.

Summary:
Crystal system: orthorhombic
Magnetization: 0.14 μB per atom
Density: 3.3 g/cm3
Energy of formation from the pure elements: 0.194 eV per atom

a = 3.473 Å, b = 3.473 Å, c = 11.866 Å
α = 90.00°, β = 90.00°, γ = 111.59°
Positions (direct):
Ca1 0.000 0.000 0.234
Ca2 0.000 0.000 0.766
La1 0.500 0.500 0.500
Sc1 0.500 0.500 0.000



[9]
Here is KGa3Fe at its PBEsol-relaxed geometry from Alexandria. Energies are from SCAN.

Summary:
Crystal system: cubic
Magnetization: 0.00 μB per atom
Density: 5.2 g/cm3
Energy of formation from the pure elements: -0.171 eV per atom

a = 4.610 Å, b = 4.610 Å, c = 4.610 Å
α = 90.00°, β = 90.00°, γ = 90.00°
Positions (direct):
K1 0.000 0.000 0.000
Ga1 0.000 0.500 0.500
Ga2 0.500 0.000 0.500
Ga3 0.500 0.500 0.000
Fe1 0.500 0.500 0.500



[10]
Here is YAl2Ni at its PBEsol-relaxed geometry from Alexandria. Energies are from SCAN.

Summary:
Crystal system: orthorhombic
Magnetization: 0.00 μB per atom
Density: 4.8 g/cm3
Energy of formation from the pure elements: -0.722 eV per atom

a = 5.458 Å, b = 5.458 Å, c = 6.808 Å
α = 90.00°, β = 90.00°, γ = 136.89°
Positions (direct):
Y1 0.061 0.939 0.750
Y2 0.939 0.061 0.250
Al1 0.343 0.657 0.554
Al2 0.343 0.657 0.946
Al3 0.657 0.343 0.054
Al4 0.657 0.343 0.446
Ni1 0.216 0.784 0.250
Ni2 0.784 0.216 0.750



[11]
Here is Cr2AgP at its PBEsol-relaxed geometry from Alexandria. Energies are from SCAN.

Summary:
Crystal system: trigonal
Magnetization: 0.00 μB per atom
Density: 7.9 g/cm3
Energy of formation from the pure elements: 0.386 eV per atom

a = 8.297 Å, b = 8.297 Å, c = 8.297 Å
α = 18.63°, β = 18.63°, γ = 18.63°
Positions (direct):
Cr1 0.239 0.239 0.239
Cr2 0.761 0.761 0.761
Ag1 0.000 0.000 0.000
P1 0.500 0.500 0.500



[12]
Here is BaAg3 at its PBEsol-relaxed geometry from Alexandria. Energies are from SCAN.

Summary:
Crystal system: hexagonal
Magnetization: 0.00 μB per atom
Density: 7.4 g/cm3
Energy of formation from the pure elements: -0.124 eV per atom

a = 7.113 Å, b = 7.113 Å, c = 4.731 Å
α = 90.00°, β = 90.00°, γ = 120.00°
Positions (direct):
Ba1 0.333 0.667 0.250
Ba2 0.667 0.333 0.750
Ag1 0.131 0.262 0.750
Ag2 0.131 0.869 0.750
Ag3 0.262 0.131 0.250
Ag4 0.738 0.869 0.750
Ag5 0.869 0.131 0.250
Ag6 0.869 0.738 0.250



> Which formula does entry 6 have?

RbAgO2



> What is the magnetization in the second record?

0.93 μB per atom



> Which of these has the highest magnetization?

TaFeSeN2



> What is the magnetization in the seventh record?

0.12 μB per atom